No. 1
Material: HgHRuSe2
Method: DFT, PBE-GGA
State: relaxed

uncorrected energy: -2.27 eV/atom
symmetry: P4/mmm, No. 123
DOS at the Fermi energy: 10.765 states/eV/cell
total magnetization: 4.4 μB per formula unit

Lattice parameters (Å, degrees): 5.2692 5.2692 5.3188 90.00 90.00 90.00
Closest atoms and distances in Å follow each position.
Atoms (fractional coordinates):
Hg (0.0000, 0.0000, 0.0000)  4 Se 2.63, 2 Ru 2.66
H (0.5000, 0.5000, 0.5000)  4 Ru 3.73, 8 Se 3.74
Ru (0.0000, 0.0000, 0.5000)  2 Hg 2.66
Se (0.0000, 0.5000, 0.0000)  2 Hg 2.63
Se (0.5000, 0.0000, 0.0000)  2 Hg 2.63

=====

No. 2
Material: SiHgH2Ru
Method: DFT, PBE-GGA
State: relaxed

uncorrected energy: -3.30 eV/atom
symmetry: P4/mmm, No. 123
DOS at the Fermi energy: 5.670 states/eV/cell
total magnetization: 1.5 μB per formula unit

Lattice parameters (Å, degrees): 3.7155 3.7155 5.4554 90.00 90.00 90.00
Closest atoms and distances in Å follow each position.
Atoms (fractional coordinates):
Si (0.0000, 0.0000, 0.0000)  4 H 1.86
Hg (0.0000, 0.0000, 0.5000)  4 Ru 2.63, 2 Si 2.73
H (0.0000, 0.5000, 0.0000)  2 Si 1.86
H (0.5000, 0.0000, 0.0000)  2 Si 1.86
Ru (0.5000, 0.5000, 0.5000)  4 Hg 2.63

=====

No. 3
Material: SrHgHRu2
Method: DFT, PBE-GGA
State: relaxed

uncorrected energy: -2.43 eV/atom
symmetry: P4/mmm, No. 123
DOS at the Fermi energy: 6.733 states/eV/cell
total magnetization: 4.5 μB per formula unit

Lattice parameters (Å, degrees): 5.1375 5.1375 6.3016 90.00 90.00 90.00
Closest atoms and distances in Å follow each position.
Atoms (fractional coordinates):
Sr (0.0000, 0.0000, 0.0000)  4 Ru 2.57
Hg (0.0000, 0.0000, 0.5000)  2 Sr 3.15
H (0.5000, 0.5000, 0.5000)  4 Hg 3.63, 8 Ru 4.07
Ru (0.0000, 0.5000, 0.0000)  2 Sr 2.57
Ru (0.5000, 0.0000, 0.0000)  2 Sr 2.57

=====

No. 4
Material: Sr2HgH6Ru
Method: DFT, PBE-GGA
State: relaxed

uncorrected energy: -3.72 eV/atom
symmetry: P-3m1, No. 164
DOS at the Fermi energy: 0.118 states/eV/cell
total magnetization: 0.0 μB per formula unit

Lattice parameters (Å, degrees): 5.0983 5.0983 7.6786 90.00 90.00 120.00
Closest atoms and distances in Å follow each position.
Atoms (fractional coordinates):
Sr (0.3333, 0.6667, 0.3476)  9 H 2.56-2.64
Sr (0.6667, 0.3333, 0.6524)  9 H 2.56-2.64
Hg (0.0000, 0.0000, 0.0000)  6 H 3.19
H (0.1605, 0.3209, 0.6283)  1 Ru 1.73
H (0.1605, 0.8395, 0.6283)  1 Ru 1.73
H (0.3209, 0.1605, 0.3717)  1 Ru 1.73
H (0.6791, 0.8395, 0.6283)  1 Ru 1.73
H (0.8395, 0.1605, 0.3717)  1 Ru 1.73
H (0.8395, 0.6791, 0.3717)  1 Ru 1.73
Ru (0.0000, 0.0000, 0.5000)  6 H 1.73

=====

No. 5
Material: TaHgH2Ru
Method: DFT, PBE-GGA
State: relaxed

uncorrected energy: -5.07 eV/atom
symmetry: P4/mmm, No. 123
DOS at the Fermi energy: 4.601 states/eV/cell
total magnetization: 0.0 μB per formula unit

Lattice parameters (Å, degrees): 3.7949 3.7949 4.9871 90.00 90.00 90.00
Closest atoms and distances in Å follow each position.
Atoms (fractional coordinates):
Ta (0.0000, 0.0000, 0.0000)  4 H 1.90
Hg (0.5000, 0.5000, 0.5000)  4 Ru 2.68
H (0.0000, 0.5000, 0.0000)  2 Ta 1.90
H (0.5000, 0.0000, 0.0000)  2 Ta 1.90
Ru (0.0000, 0.0000, 0.5000)  2 Ta 2.49, 4 Hg 2.68

=====

No. 6
Material: Y2HgHRu
Method: DFT, PBE-GGA
State: relaxed

uncorrected energy: -5.61 eV/atom
symmetry: P4/mmm, No. 123
DOS at the Fermi energy: 2.062 states/eV/cell
total magnetization: 0.0 μB per formula unit

Lattice parameters (Å, degrees): 5.0131 5.0131 3.6996 90.00 90.00 90.00
Closest atoms and distances in Å follow each position.
Atoms (fractional coordinates):
Y (0.0000, 0.5000, 0.0000)  2 H 2.51
Y (0.5000, 0.0000, 0.0000)  2 H 2.51
Hg (0.0000, 0.0000, 0.5000)  8 Y 3.12
H (0.5000, 0.5000, 0.0000)  2 Ru 1.85
Ru (0.5000, 0.5000, 0.5000)  2 H 1.85

=====

What did the first record say?
Material: HgHRuSe2
Method: DFT, PBE-GGA
State: relaxed

uncorrected energy: -2.27 eV/atom
symmetry: P4/mmm, No. 123
DOS at the Fermi energy: 10.765 states/eV/cell
total magnetization: 4.4 μB per formula unit

Lattice parameters (Å, degrees): 5.2692 5.2692 5.3188 90.00 90.00 90.00
Closest atoms and distances in Å follow each position.
Atoms (fractional coordinates):
Hg (0.0000, 0.0000, 0.0000)  4 Se 2.63, 2 Ru 2.66
H (0.5000, 0.5000, 0.5000)  4 Ru 3.73, 8 Se 3.74
Ru (0.0000, 0.0000, 0.5000)  2 Hg 2.66
Se (0.0000, 0.5000, 0.0000)  2 Hg 2.63
Se (0.5000, 0.0000, 0.0000)  2 Hg 2.63